{"formula": "PmTmNi", "functional": "PBE", "state": "relaxed", "crystal_system": "tetragonal", "rho_g_cm3": 8.49, "relative_energy_mev_per_atom": 53, "formation_enthalpy_0k_ev_per_fu": -0.660, "m_tot_mub_per_fu": 0.000, "dft_energy_ev_per_cell": -15.66, "lattice": [[-1.711, 1.711, 6.230], [1.711, -1.711, 6.230], [1.711, 1.711, -6.230]], "species": ["Pm", "Tm", "Ni"], "frac_coords": [[0.000, 0.000, 0.000], [0.736, 0.736, 0.000], [0.355, 0.355, 0.000]]}

***

{"formula": "CeZnAsSe", "functional": "PBE", "state": "relaxed", "crystal_system": "trigonal", "raw_formation_energy_ev_per_fu": -4.0, "rho_g_cm3": 5.59, "m_tot_mub_per_fu": 0.886, "dft_energy_ev_per_cell": -38.66, "lattice": [[2.158, 1.246, 13.227], [-2.158, 1.246, 13.227], [0.000, -2.492, 13.227]], "species": ["Ce", "Ce", "Zn", "Zn", "As", "As", "Se", "Se"], "frac_coords": [[0.089, 0.089, 0.089], [0.911, 0.911, 0.911], [0.309, 0.309, 0.309], [0.691, 0.691, 0.691], [0.374, 0.374, 0.374], [0.626, 0.626, 0.626], [0.210, 0.210, 0.210], [0.790, 0.790, 0.790]]}

***

{"formula": "CdGa2As2", "functional": "PBE", "state": "relaxed", "crystal_system": "tetragonal", "rho_g_cm3": 6.59, "relative_energy_mev_per_atom": 132, "formation_enthalpy_0k_ev_per_fu": 0.775, "m_tot_mub_per_fu": 0.000, "dft_energy_ev_per_cell": -30.99, "lattice": [[7.542, 0.000, 0.000], [0.000, 7.542, 0.000], [0.000, 0.000, 3.558]], "species": ["Cd", "Cd", "Ga", "Ga", "Ga", "Ga", "As", "As", "As", "As"], "frac_coords": [[0.000, 0.000, 0.000], [0.500, 0.500, 0.000], [0.138, 0.362, 0.000], [0.362, 0.862, 0.000], [0.638, 0.138, 0.000], [0.862, 0.638, 0.000], [0.151, 0.651, 0.500], [0.349, 0.151, 0.500], [0.651, 0.849, 0.500], [0.849, 0.349, 0.500]]}

***

{"formula": "DyIn6Hg8", "functional": "PBE", "state": "relaxed", "crystal_system": "trigonal", "rho_g_cm3": 9.68, "formation_enthalpy_0k_ev_per_fu": -0.517, "m_tot_mub_per_fu": 0.000, "dft_energy_ev_per_cell": -23.96, "lattice": [[4.436, 2.561, 6.183], [-4.436, 2.561, 6.183], [0.000, -5.122, 6.183]], "species": ["Dy", "In", "In", "In", "In", "In", "In", "Hg", "Hg", "Hg", "Hg", "Hg", "Hg", "Hg", "Hg"], "frac_coords": [[0.000, 0.000, 0.000], [0.113, 0.432, 0.721], [0.279, 0.887, 0.568], [0.432, 0.721, 0.113], [0.568, 0.279, 0.887], [0.721, 0.113, 0.432], [0.887, 0.568, 0.279], [0.062, 0.782, 0.406], [0.218, 0.594, 0.938], [0.327, 0.327, 0.327], [0.406, 0.062, 0.782], [0.594, 0.938, 0.218], [0.673, 0.673, 0.673], [0.782, 0.406, 0.062], [0.938, 0.218, 0.594]]}

***

{"formula": "SrTaO3", "functional": "PBE", "state": "relaxed", "crystal_system": "orthorhombic", "raw_formation_energy_ev_per_fu": -13.7, "rho_g_cm3": 7.43, "m_tot_mub_per_fu": 0.000, "dft_energy_ev_per_cell": -84.18, "lattice": [[-1.993, 2.923, 6.068], [1.993, -2.923, 6.068], [1.993, 2.923, -6.068]], "species": ["Sr", "Sr", "Ta", "Ta", "O", "O", "O", "O", "O", "O"], "frac_coords": [[0.210, 0.210, 0.000], [0.790, 0.790, 0.000], [0.000, 0.500, 0.500], [0.500, 0.500, 0.000], [0.000, 0.000, 0.000], [0.112, 0.371, 0.741], [0.371, 0.629, 0.741], [0.500, 0.000, 0.500], [0.629, 0.371, 0.259], [0.888, 0.629, 0.259]]}

***

{"formula": "Sr2P4Rh5", "functional": "PBE", "state": "relaxed", "crystal_system": "orthorhombic", "rho_g_cm3": 6.88, "formation_enthalpy_0k_ev_per_fu": -9.181, "m_tot_mub_per_fu": 0.000, "dft_energy_ev_per_cell": -70.94, "lattice": [[0.000, 5.115, 6.881], [2.790, 0.000, 6.881], [2.790, 5.115, 0.000]], "species": ["Sr", "Sr", "P", "P", "P", "P", "Rh", "Rh", "Rh", "Rh", "Rh"], "frac_coords": [[0.136, 0.136, 0.864], [0.864, 0.864, 0.136], [0.212, 0.535, 0.465], [0.465, 0.788, 0.212], [0.535, 0.212, 0.788], [0.788, 0.465, 0.535], [0.000, 0.000, 0.500], [0.250, 0.250, 0.250], [0.500, 0.500, 0.000], [0.500, 0.500, 0.500], [0.750, 0.750, 0.750]]}

***

{"formula": "Sc2ReW", "functional": "PBE", "state": "relaxed", "crystal_system": "orthorhombic", "rho_g_cm3": 10.19, "relative_energy_mev_per_atom": 58, "formation_enthalpy_0k_ev_per_fu": 0.004, "m_tot_mub_per_fu": 0.000, "dft_energy_ev_per_cell": -38.06, "lattice": [[-1.645, 2.378, 4.792], [1.645, -2.378, 4.792], [1.645, 2.378, -4.792]], "species": ["Sc", "Sc", "Re", "W"], "frac_coords": [[0.000, 0.000, 0.000], [0.725, 0.225, 0.500], [0.471, 0.471, 0.000], [0.274, 0.774, 0.500]]}

***

{"formula": "SrLa2GaRu", "functional": "PBE", "state": "relaxed", "crystal_system": "tetragonal", "rho_g_cm3": 5.67, "formation_enthalpy_0k_ev_per_fu": -1.119, "m_tot_mub_per_fu": 0.000, "dft_energy_ev_per_cell": -24.96, "lattice": [[5.507, 0.000, 0.000], [0.000, 5.507, 0.000], [0.000, 0.000, 5.175]], "species": ["Sr", "La", "La", "Ga", "Ru"], "frac_coords": [[0.000, 0.000, 0.000], [0.000, 0.500, 0.500], [0.500, 0.000, 0.500], [0.500, 0.500, 0.000], [0.500, 0.500, 0.500]]}